# 1
This record from Alexandria describes crystalline AsIr2 at its relaxed geometry. The functional is PBE.

Geometry as CIF:
```
data_AsIr2
_space_group_name_H-M_alt 'C 1 2/m 1'
_space_group_IT_number 12
_space_group_name_Hall '-C 2y'
_cell_length_a 11.128
_cell_length_b 2.847
_cell_length_c 6.706
_cell_angle_alpha 90.00
_cell_angle_beta 116.41
_cell_angle_gamma 90.00
loop_
_atom_site_label
_atom_site_fract_x
_atom_site_fract_y
_atom_site_fract_z
_atom_site_occupancy
As1 0.048 0.000 0.347 1
Ir1 0.125 0.500 0.949 1
Ir2 0.240 0.500 0.673 1
```

The formation energy is 0.1533 eV/atom. Its density of states at the Fermi level is 0.687 states/eV per atom.


# 2
This record from Alexandria describes crystalline CoSb2 at its relaxed geometry. The functional is PBE.

Geometry as CIF:
```
data_CoSb2
_space_group_name_H-M_alt 'P n m a'
_space_group_IT_number 62
_space_group_name_Hall '-P 2ac 2n'
_cell_length_a 6.890
_cell_length_b 4.188
_cell_length_c 8.595
_cell_angle_alpha 90.00
_cell_angle_beta 90.00
_cell_angle_gamma 90.00
loop_
_atom_site_label
_atom_site_fract_x
_atom_site_fract_y
_atom_site_fract_z
_atom_site_occupancy
Co1 0.243 0.250 0.070 1
Sb1 0.029 0.750 0.132 1
Sb2 0.119 0.250 0.391 1
```

The uncorrected formation energy comes out at 0.24 eV/f.u. Its density of states at the Fermi level is 0.701 states/eV per atom.


# 3
This record from Alexandria describes crystalline SrAsPRh3 at its relaxed geometry. The functional is PBE.

Geometry as CIF:
```
data_SrAsPRh3
_space_group_name_H-M_alt 'C m c m'
_space_group_IT_number 63
_space_group_name_Hall '-C 2c 2'
_cell_length_a 5.783
_cell_length_b 14.355
_cell_length_c 5.778
_cell_angle_alpha 90.00
_cell_angle_beta 90.00
_cell_angle_gamma 90.00
loop_
_atom_site_label
_atom_site_fract_x
_atom_site_fract_y
_atom_site_fract_z
_atom_site_occupancy
Sr1 0.000 0.223 0.250 1
As1 0.000 0.096 0.750 1
P1 0.000 0.418 0.750 1
Rh1 0.000 0.262 0.750 1
Rh2 0.246 0.500 0.000 1
```

The formation energy is -0.6763 eV/atom. Its density of states at the Fermi level is 0.454 states/eV per atom.


# 4
This record from Alexandria describes crystalline Si2NiRh at its relaxed geometry. The functional is PBE.

Geometry as CIF:
```
data_Si2NiRh
_space_group_name_H-M_alt 'I -4 2 d'
_space_group_IT_number 122
_space_group_name_Hall 'I -4 2bw'
_cell_length_a 3.819
_cell_length_b 3.819
_cell_length_c 15.331
_cell_angle_alpha 90.00
_cell_angle_beta 90.00
_cell_angle_gamma 90.00
loop_
_atom_site_label
_atom_site_fract_x
_atom_site_fract_y
_atom_site_fract_z
_atom_site_occupancy
Si1 0.224 0.250 0.125 1
Ni1 0.000 0.000 0.000 1
Rh1 0.000 0.000 0.500 1
```

The uncorrected formation energy comes out at -1.12 eV/f.u. Its density of states at the Fermi level is 0.421 states/eV per atom.


# 5
This record from Alexandria describes crystalline PmMg6Sc5 at its relaxed geometry. The functional is PBE.

Geometry as CIF:
```
data_PmMg6Sc5
_space_group_name_H-M_alt 'C 1 2/m 1'
_space_group_IT_number 12
_space_group_name_Hall '-C 2y'
_cell_length_a 8.933
_cell_length_b 15.420
_cell_length_c 5.138
_cell_angle_alpha 90.00
_cell_angle_beta 125.07
_cell_angle_gamma 90.00
loop_
_atom_site_label
_atom_site_fract_x
_atom_site_fract_y
_atom_site_fract_z
_atom_site_occupancy
Pm1 0.000 0.000 0.000 1
Mg1 0.236 0.500 0.236 1
Mg2 0.243 0.329 0.743 1
Sc1 0.000 0.164 0.500 1
Sc2 0.000 0.333 0.000 1
Sc3 0.000 0.500 0.500 1
```

The formation energy is -0.0385 eV/atom. Its density of states at the Fermi level is 1.366 states/eV per atom.


# 6
This record from Alexandria describes crystalline Zn2ReCl at its relaxed geometry. The functional is PBE.

Geometry as CIF:
```
data_Zn2ReCl
_space_group_name_H-M_alt 'R -3 m'
_space_group_IT_number 166
_space_group_name_Hall '-R 3 2"'
_cell_length_a 3.0306
_cell_length_b 3.0306
_cell_length_c 24.2125
_cell_angle_alpha 90.00
_cell_angle_beta 90.00
_cell_angle_gamma 120.00
loop_
_atom_site_label
_atom_site_fract_x
_atom_site_fract_y
_atom_site_fract_z
_atom_site_occupancy
Zn1 0.0000 0.0000 0.2489 1
Re1 0.0000 0.0000 0.5000 1
Cl1 0.0000 0.0000 0.0000 1
```

The uncorrected formation energy comes out at 0.78 eV/f.u. Its density of states at the Fermi level is 0.598 states/eV per atom.


# 7
This record from Alexandria describes crystalline ThNpCd at its relaxed geometry. The functional is PBE.

Geometry as CIF:
```
data_ThNpCd
_space_group_name_H-M_alt 'C 1 2/m 1'
_space_group_IT_number 12
_space_group_name_Hall '-C 2y'
_cell_length_a 15.903
_cell_length_b 3.595
_cell_length_c 5.528
_cell_angle_alpha 90.00
_cell_angle_beta 90.35
_cell_angle_gamma 90.00
loop_
_atom_site_label
_atom_site_fract_x
_atom_site_fract_y
_atom_site_fract_z
_atom_site_occupancy
Th1 0.094 0.000 0.175 1
Np1 0.244 0.000 0.642 1
Cd1 0.076 0.500 0.673 1
```

The formation energy is 0.1771 eV/atom. Its density of states at the Fermi level is 1.998 states/eV per atom.


# 8
This record from Alexandria describes crystalline Y5Br3 at its relaxed geometry. The functional is PBE.

Geometry as CIF:
```
data_Y5Br3
_space_group_name_H-M_alt 'C m m m'
_space_group_IT_number 65
_space_group_name_Hall '-C 2 2'
_cell_length_a 7.101
_cell_length_b 11.915
_cell_length_c 5.559
_cell_angle_alpha 90.00
_cell_angle_beta 90.00
_cell_angle_gamma 90.00
loop_
_atom_site_label
_atom_site_fract_x
_atom_site_fract_y
_atom_site_fract_z
_atom_site_occupancy
Y1 0.000 0.000 0.000 1
Y2 0.248 0.000 0.500 1
Y3 0.250 0.250 0.000 1
Br1 0.000 0.306 0.500 1
Br2 0.000 0.500 0.000 1
```

The uncorrected formation energy comes out at -3.27 eV/f.u. Its density of states at the Fermi level is 1.264 states/eV per atom.